AcCe2Gd after structural relaxation, computed with PBE.

a b c (Å): 5.0640 5.0640 5.2178
angles (deg): 90.00 90.00 90.00
Last column: nearest neighbours and their distance in Å.
Space group P4/mmm (No. 123)
Symmetry-distinct sites (fractional):
Ac1 0.0000 0.0000 0.0000 (multiplicity 1)  4 Gd 3.58, 8 Ce 3.64
Ce1 0.0000 0.5000 0.5000 (multiplicity 2)  4 Ce 3.58, 4 Gd 3.64, 4 Ac 3.64
Gd1 0.5000 0.5000 0.0000 (multiplicity 1)  4 Ac 3.58, 8 Ce 3.64

Properties
V	133.8	Å³ per cell
mass density	8.25	g cm⁻³
energy	-7.36	eV/atom
D(E_F)	11.89	states/eV/cell
distance to the lowest polymorph of the same formula	0.000	eV/atom